1.
DFT (PBEsol) results for an optimized crystal structure of BeRhAu.

Lattice parameters (Å, degrees): 2.7520 2.7520 5.9858 90.00 90.00 120.00
Last column: nearest neighbours and their distance in Å.
Positions (direct):
Rh 0.6667 0.3333 0.3764  3 Be 2.28
Au 0.0000 0.0000 0.9732  3 Be 2.50, 6 Au 2.75
Be 0.3333 0.6667 0.6503  3 Rh 2.28, 3 Au 2.50

Output
DFT formation energy in eV/atom: -0.143
VASP energy in eV/atom: -5.50
Total moment in μB/f.u.: 0.0
Calculated volume in Å³/cell: 39.3

2.
DFT (PBEsol) results for an optimized crystal structure of DyCuGe.

Lattice parameters (Å, degrees): 3.6703 4.1530 4.1530 120.00 90.00 90.00
Last column: nearest neighbours and their distance in Å.
Positions (direct):
Ge 0.5000 0.6667 0.3333  3 Cu 2.40
Cu 0.5000 0.0000 0.0000  3 Ge 2.40
Dy 0.0000 0.3333 0.6667  6 Cu 3.02, 6 Ge 3.02

Output
DFT formation energy in eV/atom: -0.683
VASP energy in eV/atom: -5.43
Total moment in μB/f.u.: 0.0
Calculated volume in Å³/cell: 54.8

3.
DFT (PBEsol) results for an optimized crystal structure of K2AlAs.

Lattice parameters (Å, degrees): 5.0826 5.6310 5.0826 63.17 90.00 116.83
Last column: nearest neighbours and their distance in Å.
Positions (direct):
As 0.7500 0.5000 0.7500  4 Al 3.34, 8 K 3.34-3.59
K 0.0000 0.0000 0.0000  4 As 3.34, 4 K 3.34, 4 Al 3.59
K 0.2500 0.5000 0.2500  4 K 3.34, 4 Al 3.34, 4 As 3.59
Al 0.5000 0.0000 0.5000  4 As 3.34, 8 K 3.34-3.59

Output
DFT formation energy in eV/atom: 0.111
Offset from the most stable computed form in meV per atom: 0
VASP energy in eV/atom: -2.76
Total moment in μB/f.u.: 0.0
Calculated volume in Å³/cell: 112.0

Number 1: density of states at the Fermi level 0.2955 states/eV per atom. Number 2: density of states at the Fermi level 0.5578 states/eV per atom. Number 3: density of states at the Fermi level 0.3506 states/eV per atom.